# 1
Mg2SiAs after structural relaxation. Source: the Alexandria database, functional PBE.

POSCAR file:
```
Mg2SiAs
1.0
3.0662 0.0000 0.0000
0.0000 4.4337 0.0000
0.0000 0.0000 5.7576
Mg Si As
2 1 1
direct
0.0000 0.0000 0.0000
0.5000 0.5000 0.3709
0.0000 0.0000 0.4956
0.5000 0.5000 0.8771
```

Relative energy among the computed polymorphs, meV per atom: 147.4
Uncorrected formation energy, eV per atom: 0.001
Fermi-level density of states, states/eV per atom: 0.526
Total magnetization, μB per formula unit: 0.00

***

# 2
Mg2SiAs after structural relaxation. Source: the Alexandria database, functional PBE.

POSCAR file:
```
Mg2SiAs
1.0
3.0687 0.0000 0.0000
0.0000 3.0687 0.0000
0.0000 0.0000 7.9080
Mg Si As
2 1 1
direct
0.0000 0.0000 0.2407
0.0000 0.0000 0.7593
0.5000 0.5000 0.0000
0.5000 0.5000 0.5000
```

Relative energy among the computed polymorphs, meV per atom: 87.3
Uncorrected formation energy, eV per atom: -0.059
Fermi-level density of states, states/eV per atom: 0.209
Total magnetization, μB per formula unit: 0.00

***

# 3
MgSi2As after structural relaxation. Source: the Alexandria database, functional PBE.

POSCAR file:
```
MgSi2As
1.0
3.0133 0.0000 0.0000
0.0000 3.0133 0.0000
0.0000 0.0000 7.6325
Mg Si As
1 2 1
direct
0.0000 0.0000 0.0000
0.5000 0.5000 0.2558
0.5000 0.5000 0.7442
0.0000 0.0000 0.5000
```

Relative energy among the computed polymorphs, meV per atom: 295.1
Uncorrected formation energy, eV per atom: 0.373
Fermi-level density of states, states/eV per atom: 0.578
Total magnetization, μB per formula unit: 0.00

***

# 4
MgV2SiAs after structural relaxation. Source: the Alexandria database, functional PBE.

POSCAR file:
```
MgV2SiAs
1.0
4.6745 0.0000 0.0000
0.0000 4.6745 0.0000
0.0000 0.0000 4.7605
Mg V Si As
1 2 1 1
direct
0.0000 0.0000 0.0000
0.0000 0.5000 0.5000
0.5000 0.0000 0.5000
0.5000 0.5000 0.0000
0.0000 0.0000 0.5000
```

Uncorrected formation energy, eV per atom: 0.616
Fermi-level density of states, states/eV per atom: 1.025
Total magnetization, μB per formula unit: 4.77

***

# 5
Mg2SiAsW after structural relaxation. Source: the Alexandria database, functional PBE.

POSCAR file:
```
Mg2SiAsW
1.0
4.8267 0.0000 0.0000
0.0000 4.8267 0.0000
0.0000 0.0000 4.7472
Mg Si As W
2 1 1 1
direct
0.0000 0.5000 0.0000
0.5000 0.0000 0.0000
0.0000 0.0000 0.5000
0.5000 0.5000 0.0000
0.5000 0.5000 0.5000
```

Uncorrected formation energy, eV per atom: 0.853
Fermi-level density of states, states/eV per atom: 0.608
Total magnetization, μB per formula unit: 1.40

***

# 6
Sm2MgAs after structural relaxation. Source: the Alexandria database, functional PBE.

POSCAR file:
```
Sm2MgAs
1.0
3.8666 0.0000 0.0000
0.0000 3.8666 0.0000
0.0000 0.0000 6.8331
Sm Mg As
2 1 1
direct
0.0000 0.0000 0.2319
0.0000 0.0000 0.7681
0.5000 0.5000 0.5000
0.5000 0.5000 0.0000
```

Relative energy among the computed polymorphs, meV per atom: 0.0
Fermi-level density of states, states/eV per atom: 0.709
Calculated formation energy, meV/atom: -641.1
Total magnetization, μB per formula unit: 0.00

***

# 7
Sm3MgAs4 after structural relaxation. Source: the Alexandria database, functional PBE.

POSCAR file:
```
Sm3MgAs4
1.0
5.9104 0.0000 0.0000
0.0000 5.9104 0.0000
0.0000 0.0000 5.9104
Sm Mg As
3 1 4
direct
0.0000 0.0000 0.5000
0.0000 0.5000 0.0000
0.5000 0.0000 0.0000
0.5000 0.5000 0.5000
0.0000 0.0000 0.0000
0.0000 0.5000 0.5000
0.5000 0.0000 0.5000
0.5000 0.5000 0.0000
```

Fermi-level density of states, states/eV per atom: 0.526
Calculated formation energy, meV/atom: -1153.2
Total magnetization, μB per formula unit: 0.00

***

# 8
SmMgAs2 after structural relaxation. Source: the Alexandria database, functional PBE.

POSCAR file:
```
SmMgAs2
1.0
4.1944 0.0000 0.0000
-2.0972 3.6324 0.0000
0.0000 0.0000 19.0439
Sm Mg As
3 3 6
direct
0.0000 0.0000 0.0000
0.3333 0.6667 0.6667
0.6667 0.3333 0.3333
0.0000 0.0000 0.1744
0.3333 0.6667 0.8411
0.6667 0.3333 0.5078
0.0000 0.0000 0.4244
0.0000 0.0000 0.5776
0.3333 0.6667 0.0911
0.3333 0.6667 0.2443
0.6667 0.3333 0.7577
0.6667 0.3333 0.9110
```

Relative energy among the computed polymorphs, meV per atom: 0.0
Fermi-level density of states, states/eV per atom: 0.408
Calculated formation energy, meV/atom: -847.4
Total magnetization, μB per formula unit: 0.00

***

# 9
SmMgAs2 after structural relaxation. Source: the Alexandria database, functional PBE.

POSCAR file:
```
SmMgAs2
1.0
4.1935 0.0000 0.0000
-2.0967 3.6317 0.0000
0.0000 0.0000 18.9546
Sm Mg As
3 3 6
direct
0.0000 0.0000 0.0000
0.3333 0.6667 0.6667
0.6667 0.3333 0.3333
0.0000 0.0000 0.5000
0.3333 0.6667 0.1667
0.6667 0.3333 0.8333
0.0000 0.0000 0.2444
0.0000 0.0000 0.7556
0.3333 0.6667 0.4223
0.3333 0.6667 0.9110
0.6667 0.3333 0.0890
0.6667 0.3333 0.5777
```

Relative energy among the computed polymorphs, meV per atom: 12.2
Fermi-level density of states, states/eV per atom: 0.724
Calculated formation energy, meV/atom: -835.2
Total magnetization, μB per formula unit: 0.00

***

# 10
SmMgAs after structural relaxation. Source: the Alexandria database, functional PBE.

POSCAR file:
```
SmMgAs
1.0
2.5029 1.4451 8.1809
-2.5029 1.4451 8.1809
0.0000 -2.8902 8.1809
Sm Mg As
2 2 2
direct
0.1015 0.1015 0.1015
0.8985 0.8985 0.8985
0.3258 0.3258 0.3258
0.6742 0.6742 0.6742
0.2189 0.2189 0.2189
0.7811 0.7811 0.7811
```

Fermi-level density of states, states/eV per atom: 0.617
Calculated formation energy, meV/atom: -626.2
Total magnetization, μB per formula unit: 0.00

***

# 11
Sm2MgAs after structural relaxation. Source: the Alexandria database, functional PBE.

POSCAR file:
```
Sm2MgAs
1.0
3.9169 0.0000 0.0000
-1.9585 3.3922 0.0000
0.0000 0.0000 30.9425
Sm Mg As
6 3 3
direct
0.0000 0.0000 0.1107
0.0000 0.0000 0.8893
0.3333 0.6667 0.5560
0.3333 0.6667 0.7773
0.6667 0.3333 0.2227
0.6667 0.3333 0.4440
0.0000 0.0000 0.0000
0.3333 0.6667 0.6667
0.6667 0.3333 0.3333
0.0000 0.0000 0.5000
0.3333 0.6667 0.1667
0.6667 0.3333 0.8333
```

Relative energy among the computed polymorphs, meV per atom: 256.9
Fermi-level density of states, states/eV per atom: 1.260
Calculated formation energy, meV/atom: -384.2
Total magnetization, μB per formula unit: 0.00

***

# 12
Mg2Sn2As after structural relaxation. Source: the Alexandria database, functional PBE.

POSCAR file:
```
Mg2Sn2As
1.0
7.6083 0.0000 0.0000
0.0000 7.6083 0.0000
0.0000 0.0000 4.2503
Mg Sn As
4 4 2
direct
0.1631 0.3369 0.0000
0.3369 0.8369 0.0000
0.6631 0.1631 0.0000
0.8369 0.6631 0.0000
0.1408 0.6408 0.5000
0.3592 0.1408 0.5000
0.6408 0.8592 0.5000
0.8592 0.3592 0.5000
0.0000 0.0000 0.5000
0.5000 0.5000 0.5000
```

Relative energy among the computed polymorphs, meV per atom: 80.2
Fermi-level density of states, states/eV per atom: 0.385
Calculated formation energy, meV/atom: 34.3
Total magnetization, μB per formula unit: 0.00